VASP calculation (PBE) on a geometry-optimized KBaSn2Hg2 structure.

Summary:
As for the space group: P-3m1. For the calculated formation energy, the calculation gives -0.365 eV per atom.

Geometry as POSCAR:
```
KBaSn2Hg2
1.0
-3.193 1.167 -3.694
-1.108 -3.710 3.196
-4.353 6.240 5.734
Ba Hg Sn K
1 2 2 1
Cartesian
0.000 0.000 0.000
-2.890 -0.525 2.332
-5.763 4.223 2.904
-3.542 1.038 -0.022
-5.112 2.660 5.258
-2.176 3.120 2.867
```



VASP calculation (PBE) on a geometry-optimized K2SrFe structure.

Summary:
As for the space group: Cmmm. For the calculated formation energy, the calculation gives 0.878 eV per atom. Its energy above the most stable polymorph in this dataset is 0.2831 eV/atom.

Geometry as POSCAR:
```
K2SrFe
1.0
7.193 0.101 0.000
-3.783 6.118 0.000
0.000 0.000 4.114
Fe K Sr
1 2 1
Cartesian
-1.892 3.059 2.057
0.000 0.000 0.000
1.705 3.109 0.000
3.596 0.050 2.057
```



VASP calculation (PBE) on a geometry-optimized Ca2RuO4 structure.

Summary:
As for the space group: Cmce. The uncorrected formation energy is -1419 kJ/mol of formula units. Its energy above the most stable polymorph in this dataset is 0.0178 eV/atom.

Geometry as POSCAR:
```
Ca2RuO4
1.0
6.842 0.002 0.000
-4.763 4.912 0.000
0.000 0.000 5.338
Ca O Ru
4 8 2
Cartesian
5.060 0.756 2.669
-2.981 4.158 2.669
-0.742 3.211 0.000
2.821 1.703 0.000
-0.886 3.271 2.669
1.703 4.024 1.702
0.376 0.889 3.636
4.916 0.817 0.000
1.416 3.346 4.370
2.965 1.642 2.669
0.663 1.567 0.967
-2.837 4.097 0.000
0.000 0.000 0.000
1.039 2.457 2.669
```



VASP calculation (PBE) on a geometry-optimized TcRu8 structure.

Summary:
As for the space group: I4/mmm. For the calculated formation energy, the calculation gives 0.094 eV per atom.

Geometry as POSCAR:
```
TcRu8
1.0
-4.063 4.063 1.910
4.063 -4.063 1.910
4.063 4.063 -1.910
Ru Tc
8 1
Cartesian
1.354 1.354 1.910
0.000 5.420 0.000
0.000 2.706 0.000
2.709 2.709 0.000
2.706 0.000 0.000
1.354 -1.354 1.910
-1.354 1.354 1.910
5.420 0.000 0.000
0.000 0.000 0.000
```



Summary of VASP energy in eV/atom
-2.304; -2.207; -6.832; -9.303
(order as listed above)